No. 1
Here is a geometry-optimized BeCr structure from Alexandria via LeMat-Bulk. Energies are from GGA-PBE.

Cell: 3.8357 3.8357 9.4134 Å, 90.00 90.00 120.00°
With the nearest neighbours (Å) after each atom.
Space group R-3m (No. 166, hexagonal axes)
One atom of each set of equivalent atoms:
Be: 0.0000 0.0000 0.1252 x6  4 Cr 2.34-2.35, 4 Be 2.35-2.36
Cr: 0.0000 0.0000 0.3742 x6  4 Be 2.34-2.35, 4 Cr 2.34-2.37

## Properties
VASP energy = -13.181 eV per formula unit
Energy of formation from the pure elements = 0.2 eV/f.u.


No. 2
Here is a geometry-optimized BeCr5 structure from Alexandria via LeMat-Bulk. Energies are from GGA-PBE.

Cell: 3.9410 11.8529 2.8794 Å, 90.00 90.00 90.00°
With the nearest neighbours (Å) after each atom.
Space group Cmmm (No. 65)
One atom of each set of equivalent atoms:
Be: 0.0000 0.0000 0.0000 x2  8 Cr 2.44
Cr: 0.0000 0.1661 0.5000 x4  2 Be 2.44, 6 Cr 2.44-2.49
Cr: 0.0000 0.3377 0.0000 x4  8 Cr 2.40-2.49
Cr: 0.0000 0.5000 0.5000 x2  4 Cr 2.40, 4 Be 2.44

## Properties
VASP energy = -51.507 eV per formula unit
Energy of formation from the pure elements = 0.3 eV/f.u.


No. 3
Here is a geometry-optimized Be3Cr2 structure from Alexandria via LeMat-Bulk. Energies are from GGA-PBE.

Cell: 3.7718 3.7718 4.6642 Å, 90.00 90.00 120.00°
With the nearest neighbours (Å) after each atom.
Space group P-3m1 (No. 164)
One atom of each set of equivalent atoms:
Be: 0.0000 0.0000 0.0000 x1  6 Cr 2.24
Be: 0.3333 0.6667 0.3798 x2  5 Cr 2.30-2.51, 3 Be 2.45
Cr: 0.3333 0.6667 0.8875 x2  5 Be 2.24-2.37, 3 Cr 2.42

## Properties
VASP energy = -27.888 eV per formula unit
Energy of formation from the pure elements = 2.5 eV/f.u.


No. 4
Here is a geometry-optimized BeCr structure from Alexandria via LeMat-Bulk. Energies are from GGA-PBE.

Cell: 2.4402 2.4402 7.9913 Å, 90.00 90.00 120.00°
With the nearest neighbours (Å) after each atom.
Space group P6_3/mmc (No. 194)
One atom of each set of equivalent atoms:
Be: 0.3333 0.6667 0.2500 x2  6 Be 2.44, 6 Cr 2.44
Cr: 0.0000 0.0000 0.0000 x2  6 Cr 2.44, 6 Be 2.44

## Properties
VASP energy = -12.898 eV per formula unit
Energy of formation from the pure elements = 0.5 eV/f.u.


No. 5
Here is a geometry-optimized BeCr structure from Alexandria via LeMat-Bulk. Energies are from GGA-PBE.

Cell: 8.5502 2.2833 4.1606 Å, 90.00 105.80 90.00°
With the nearest neighbours (Å) after each atom.
Space group C2/m (No. 12)
One atom of each set of equivalent atoms:
Be: 0.1519 0.0000 0.3448 x4  4 Be 2.15-2.28, 5 Cr 2.37-2.40
Cr: 0.1004 0.5000 0.8213 x4  2 Cr 2.28, 7 Be 2.37-2.43

## Properties
VASP energy = -13.222 eV per formula unit
Energy of formation from the pure elements = 0.1 eV/f.u.


No. 6
Here is a geometry-optimized BeCr structure from Alexandria via LeMat-Bulk. Energies are from GGA-PBE.

Cell: 2.3280 4.0135 4.3520 Å, 90.00 90.00 90.00°
With the nearest neighbours (Å) after each atom.
Space group Immm (No. 71)
One atom of each set of equivalent atoms:
Be: 0.0000 0.0000 0.0000 x2  6 Cr 2.18-2.32, 2 Be 2.33
Cr: 0.0000 0.0000 0.5000 x2  6 Be 2.18-2.32, 2 Cr 2.33

## Properties
VASP energy = -12.561 eV per formula unit
Energy of formation from the pure elements = 0.8 eV/f.u.


No. 7
Here is a geometry-optimized Be2Cr structure from Alexandria via LeMat-Bulk. Energies are from GGA-PBE.

Cell: 5.2529 5.2529 5.2529 Å, 90.00 90.00 90.00°
With the nearest neighbours (Å) after each atom.
Space group Pa-3 (No. 205)
One atom of each set of equivalent atoms:
Be: 0.1161 0.1161 0.1161 x8  1 Be 2.11, 3 Cr 2.19
Cr: 0.0000 0.0000 0.5000 x4  6 Be 2.19

## Properties
VASP energy = -13.017 eV per formula unit
Energy of formation from the pure elements = 4.1 eV/f.u.


No. 8
Here is a geometry-optimized BeCr5 structure from Alexandria via LeMat-Bulk. Energies are from GGA-PBE.

Cell: 9.4958 2.3354 6.2755 Å, 90.00 103.96 90.00°
With the nearest neighbours (Å) after each atom.
Space group Cm (No. 8)
One atom of each set of equivalent atoms:
Be: 0.0000 0.0000 0.0000 x2  2 Be 2.34, 10 Cr 2.46-2.56
Cr: 0.0888 0.5000 0.7045 x2  8 Cr 2.34-2.61, 2 Be 2.50
Cr: 0.1643 0.5000 0.3309 x2  6 Cr 2.34-2.61, 2 Be 2.56
Cr: 0.2676 0.0000 0.0264 x2  7 Cr 2.34-2.58, 3 Be 2.51-2.54
Cr: 0.3385 0.0000 0.6785 x2  4 Cr 2.34-2.43, 2 Be 2.51
Cr: 0.4322 0.5000 0.3550 x2  9 Cr 2.34-2.61, 1 Be 2.46

## Properties
VASP energy = -50.406 eV per formula unit
Energy of formation from the pure elements = 1.4 eV/f.u.


No. 9
Here is a geometry-optimized BeCr3 structure from Alexandria via LeMat-Bulk. Energies are from GGA-PBE.

Cell: 2.4716 2.4716 25.2315 Å, 90.00 90.00 120.00°
With the nearest neighbours (Å) after each atom.
Space group R-3m (No. 166, hexagonal axes)
One atom of each set of equivalent atoms:
Be: 0.0000 0.0000 0.0000 x3  6 Cr 2.45, 6 Be 2.47
Cr: 0.0000 0.0000 0.2543 x6  3 Be 2.45, 9 Cr 2.47-2.63
Cr: 0.0000 0.0000 0.5000 x3  12 Cr 2.47-2.63

## Properties
VASP energy = -31.359 eV per formula unit
Energy of formation from the pure elements = 1.2 eV/f.u.


No. 10
Here is a geometry-optimized BeCr5 structure from Alexandria via LeMat-Bulk. Energies are from GGA-PBE.

Cell: 6.5523 6.5523 6.5523 Å, 90.00 90.00 90.00°
With the nearest neighbours (Å) after each atom.
Space group F-43m (No. 216)
One atom of each set of equivalent atoms:
Be: 0.0000 0.0000 0.0000 x4  16 Cr 2.71-2.84
Cr: 0.1259 0.1259 0.6259 x16  6 Cr 2.30-2.33
Cr: 0.2500 0.2500 0.2500 x4  12 Cr 2.72, 4 Be 2.84

## Properties
VASP energy = -50.238 eV per formula unit
Energy of formation from the pure elements = 1.6 eV/f.u.


No. 11
Here is a geometry-optimized BeCr3 structure from Alexandria via LeMat-Bulk. Energies are from GGA-PBE.

Cell: 4.3972 4.3972 4.3972 Å, 90.00 90.00 90.00°
With the nearest neighbours (Å) after each atom.
Space group Pm-3n (No. 223)
One atom of each set of equivalent atoms:
Be: 0.0000 0.0000 0.0000 x2  12 Cr 2.46
Cr: 0.0000 0.2500 0.5000 x6  2 Cr 2.20, 4 Be 2.46

## Properties
VASP energy = -32.805 eV per formula unit
Energy of formation from the pure elements = -0.2 eV/f.u.


No. 12
Here is a geometry-optimized BeCr structure from Alexandria via LeMat-Bulk. Energies are from GGA-PBE.

Cell: 2.8971 3.6892 7.5010 Å, 90.00 90.00 90.00°
With the nearest neighbours (Å) after each atom.
Space group Cmme (No. 67)
One atom of each set of equivalent atoms:
Be: 0.0000 0.2500 0.1117 x4  6 Be 2.21-2.35, 2 Cr 2.36
Cr: 0.0000 0.2500 0.6400 x4  6 Cr 2.35-2.55, 4 Be 2.36-2.62

## Properties
VASP energy = -13.251 eV per formula unit
Energy of formation from the pure elements = 0.1 eV/f.u.


No. 13
Here is a geometry-optimized Be2Cr structure from Alexandria via LeMat-Bulk. Energies are from GGA-PBE.

Cell: 3.7975 3.7975 4.4973 Å, 90.00 90.00 120.00°
With the nearest neighbours (Å) after each atom.
Space group P6_3/mmc (No. 194)
One atom of each set of equivalent atoms:
Be: 0.0000 0.0000 0.0000 x2  8 Be 2.25-2.46, 6 Cr 2.46
Be: 0.3333 0.6667 0.2500 x2  5 Cr 2.19-2.25
Cr: 0.3333 0.6667 0.7500 x2  5 Be 2.19-2.25

## Properties
VASP energy = -16.821 eV per formula unit
Energy of formation from the pure elements = 0.3 eV/f.u.


No. 14
Here is a geometry-optimized Be7Cr structure from Alexandria via LeMat-Bulk. Energies are from GGA-PBE.

Cell: 6.5126 6.5126 6.5126 Å, 90.00 90.00 90.00°
With the nearest neighbours (Å) after each atom.
Space group Fm-3m (No. 225)
One atom of each set of equivalent atoms:
Be: 0.0000 0.0000 0.0000 x4  12 Be 2.30
Be: 0.0000 0.2500 0.2500 x24  10 Be 2.30, 2 Cr 2.30
Cr: 0.0000 0.0000 0.5000 x4  12 Be 2.30

## Properties
VASP energy = -35.509 eV per formula unit
Energy of formation from the pure elements = 0.2 eV/f.u.


No. 15
Here is a geometry-optimized Be2Cr structure from Alexandria via LeMat-Bulk. Energies are from GGA-PBE.

Cell: 5.9516 5.9516 4.2570 Å, 90.00 90.00 90.00°
With the nearest neighbours (Å) after each atom.
Space group I4/mcm (No. 140)
One atom of each set of equivalent atoms:
Be: 0.2474 0.2526 0.0000 x8  2 Be 2.13, 4 Cr 2.36
Cr: 0.0000 0.0000 0.2500 x4  2 Cr 2.13, 8 Be 2.36

## Properties
VASP energy = -15.504 eV per formula unit
Energy of formation from the pure elements = 1.6 eV/f.u.


No. 16
Here is a geometry-optimized BeCr structure from Alexandria via LeMat-Bulk. Energies are from GGA-PBE.

Cell: 2.4402 3.7681 4.3549 Å, 90.00 97.03 90.00°
With the nearest neighbours (Å) after each atom.
Space group P2_1/m (No. 11)
One atom of each set of equivalent atoms:
Be: 0.0032 0.2500 0.3692 x2  4 Be 2.20-2.44, 4 Cr 2.31-2.43
Cr: 0.4065 0.7500 0.1384 x2  4 Cr 2.31-2.44, 7 Be 2.31-2.51

## Properties
VASP energy = -13.403 eV per formula unit
Energy of formation from the pure elements = -0.1 eV/f.u.


No. 17
Here is a geometry-optimized BeCr3 structure from Alexandria via LeMat-Bulk. Energies are from GGA-PBE.

Cell: 2.3849 3.9487 4.6725 Å, 90.00 100.09 90.00°
With the nearest neighbours (Å) after each atom.
Space group P2/m (No. 10)
One atom of each set of equivalent atoms:
Be: 0.0000 0.0000 0.0000 x1  2 Be 2.38, 6 Cr 2.42-2.43
Cr: 0.2628 0.5000 0.7553 x2  6 Cr 2.37-2.49, 2 Be 2.42
Cr: 0.5000 0.0000 0.5000 x1  6 Cr 2.38-2.42, 2 Be 2.43

## Properties
VASP energy = -32.389 eV per formula unit
Energy of formation from the pure elements = 0.2 eV/f.u.


No. 18
Here is a geometry-optimized BeCr5 structure from Alexandria via LeMat-Bulk. Energies are from GGA-PBE.

Cell: 4.2948 4.2948 4.2221 Å, 90.00 90.00 120.00°
With the nearest neighbours (Å) after each atom.
Space group P-62m (No. 189)
One atom of each set of equivalent atoms:
Be: 0.0000 0.0000 0.0000 x1  12 Cr 2.48-2.53
Cr: 0.0000 0.6746 0.5000 x3  10 Cr 2.42-2.56, 2 Be 2.53
Cr: 0.3333 0.6667 0.0000 x2  3 Be 2.48, 9 Cr 2.48-2.56

## Properties
VASP energy = -50.132 eV per formula unit
Energy of formation from the pure elements = 1.7 eV/f.u.


No. 19
Here is a geometry-optimized BeCr3 structure from Alexandria via LeMat-Bulk. Energies are from GGA-PBE.

Cell: 4.7934 7.7681 2.3559 Å, 90.00 90.00 90.00°
With the nearest neighbours (Å) after each atom.
Space group Cmmm (No. 65)
One atom of each set of equivalent atoms:
Be: 0.0000 0.0000 0.0000 x2  2 Be 2.36, 10 Cr 2.40-2.57
Cr: 0.0000 0.5000 0.0000 x2  10 Cr 2.36-2.57, 2 Be 2.40
Cr: 0.2500 0.2500 0.5000 x4  8 Cr 2.36-2.57, 4 Be 2.57

## Properties
VASP energy = -31.842 eV per formula unit
Energy of formation from the pure elements = 0.8 eV/f.u.


No. 20
Here is a geometry-optimized BeCr3 structure from Alexandria via LeMat-Bulk. Energies are from GGA-PBE.

Cell: 3.9428 3.9428 3.9428 Å, 90.00 90.00 90.00°
With the nearest neighbours (Å) after each atom.
Space group Pm-3m (No. 221)
One atom of each set of equivalent atoms:
Be: 0.0000 0.0000 0.0000 x1  6 Cr 1.97
Cr: 0.0000 0.0000 0.5000 x3  2 Be 1.97

## Properties
VASP energy = -24.871 eV per formula unit
Energy of formation from the pure elements = 7.7 eV/f.u.


No. 21
Here is a geometry-optimized Be5Cr3 structure from Alexandria via LeMat-Bulk. Energies are from GGA-PBE.

Cell: 4.1684 6.4259 6.4274 Å, 83.98 71.16 71.10°
With the nearest neighbours (Å) after each atom.
Space group P-1 (No. 2)
One atom of each set of equivalent atoms:
Be: 0.0542 0.1771 0.2125 x2  5 Be 2.16-2.30, 2 Cr 2.18-2.19
Be: 0.2307 0.8225 0.2143 x2  5 Be 2.16-2.30, 2 Cr 2.21-2.22
Be: 0.2498 0.0005 0.5001 x2  10 Be 2.08-2.30
Be: 0.2679 0.2870 0.6776 x2  5 Be 2.16-2.30, 2 Cr 2.18-2.19
Be: 0.4453 0.2863 0.3231 x2  5 Be 2.16-2.30, 2 Cr 2.21-2.22
Cr: 0.1963 0.6028 0.5039 x2  6 Be 2.18-2.43, 2 Cr 2.43
Cr: 0.2703 0.5001 0.9997 x2  1 Cr 1.92
Cr: 0.3013 0.0038 0.8969 x2  6 Be 2.18-2.43, 1 Cr 2.42

## Properties
VASP energy = -46.245 eV per formula unit
Energy of formation from the pure elements = 1.3 eV/f.u.


No. 22
Here is a geometry-optimized Be2Cr structure from Alexandria via LeMat-Bulk. Energies are from GGA-PBE.

Cell: 4.2031 4.2031 6.8805 Å, 90.00 90.00 120.00°
With the nearest neighbours (Å) after each atom.
Space group P6_3/mmc (No. 194)
One atom of each set of equivalent atoms:
Be: 0.0000 0.0000 0.0000 x2  6 Be 2.12
Be: 0.1701 0.3402 0.2500 x6  6 Be 2.06-2.14
Cr: 0.3333 0.6667 0.5623 x4  12 Be 2.46-2.47, 4 Cr 2.57-2.58

## Properties
VASP energy = -17.789 eV per formula unit
Energy of formation from the pure elements = -0.7 eV/f.u.


No. 23
Here is a geometry-optimized BeCr structure from Alexandria via LeMat-Bulk. Energies are from GGA-PBE.

Cell: 6.4022 6.4022 3.6109 Å, 90.00 90.00 120.00°
With the nearest neighbours (Å) after each atom.
Space group P6_3/m (No. 176)
One atom of each set of equivalent atoms:
Be: 0.0396 0.2192 0.2500 x6  6 Be 2.22-2.24, 4 Cr 2.34-2.41
Cr: 0.0882 0.4709 0.7500 x6  4 Cr 2.26-2.49, 5 Be 2.34-2.50

## Properties
VASP energy = -12.622 eV per formula unit
Energy of formation from the pure elements = 0.7 eV/f.u.


No. 24
Here is a geometry-optimized BeCr structure from Alexandria via LeMat-Bulk. Energies are from GGA-PBE.

Cell: 4.3456 4.3456 4.3456 Å, 90.00 90.00 90.00°
With the nearest neighbours (Å) after each atom.
Space group Fm-3m (No. 225)
One atom of each set of equivalent atoms:
Be: 0.0000 0.0000 0.0000 x4  6 Cr 2.17
Cr: 0.0000 0.0000 0.5000 x4  6 Be 2.17

## Properties
VASP energy = -12.248 eV per formula unit
Energy of formation from the pure elements = 1.1 eV/f.u.


No. 25
Here is a geometry-optimized Be3Cr structure from Alexandria via LeMat-Bulk. Energies are from GGA-PBE.

Cell: 3.2711 3.2711 3.2711 Å, 90.00 90.00 90.00°
With the nearest neighbours (Å) after each atom.
Space group Pm-3m (No. 221)
One atom of each set of equivalent atoms:
Be: 0.0000 0.0000 0.5000 x3  4 Cr 2.31, 8 Be 2.31
Cr: 0.5000 0.5000 0.5000 x1  12 Be 2.31

## Properties
VASP energy = -21.375 eV per formula unit
Energy of formation from the pure elements = -0.6 eV/f.u.


No. 26
Here is a geometry-optimized Be2Cr structure from Alexandria via LeMat-Bulk. Energies are from GGA-PBE.

Cell: 8.1818 3.8026 3.5284 Å, 90.00 90.00 90.00°
With the nearest neighbours (Å) after each atom.
Space group Cmcm (No. 63)
One atom of each set of equivalent atoms:
Be: 0.1887 0.1678 0.2500 x8  6 Be 2.12-2.18, 1 Cr 2.35
Cr: 0.0000 0.2998 0.7500 x4  2 Cr 2.33, 10 Be 2.35-2.55

## Properties
VASP energy = -17.044 eV per formula unit
Energy of formation from the pure elements = 0.0 eV/f.u.